[1]
An optimized crystal structure of AgHg3W. Source: Alexandria via LeMat-Bulk, functional PBE.

```
5
Lattice="5.333 0.000 0.000 0.000 5.333 0.000 0.000 0.000 5.333" Properties=species:S:1:pos:R:3 pbc="T T T"
Ag 2.666 2.666 2.666
Hg 0.000 2.666 0.000
Hg 0.000 0.000 2.666
Hg 2.666 0.000 0.000
W 0.000 0.000 0.000
```

Values from the calculation:
Calculated formation energy: 1.17 eV per atom
Fermi-level density of states: 0.80 states/eV per atom
E above lowest polymorph: 0.000 eV/atom
Energy: -2.174 eV/atom

***

[2]
An optimized crystal structure of Nd3Dy6ErTm2. Source: Alexandria via LeMat-Bulk, functional PBE.

```
12
Lattice="-1.571 2.255 -5.531 5.049 -3.510 0.580 -7.523 -9.081 -0.418" Properties=species:S:1:pos:R:3 pbc="T T T"
Nd 0.184 -7.090 -0.647
Nd -4.229 -3.246 -4.722
Nd -2.023 -5.168 -2.684
Dy -4.171 -6.840 -5.055
Dy 0.760 -3.163 -3.807
Dy 0.126 -3.496 -0.314
Dy -1.964 -8.762 -3.018
Dy -4.806 -7.173 -1.561
Dy -2.081 -1.574 -2.351
Er 0.000 0.000 0.000
Tm 2.842 -1.588 -1.457
Tm 0.636 0.333 -3.494
```

Values from the calculation:
Calculated formation energy: 0.02 eV per atom
Fermi-level density of states: 1.35 states/eV per atom
Energy: -4.598 eV/atom

***

[3]
An optimized crystal structure of MnMoPb2. Source: Alexandria via LeMat-Bulk, functional PBE.

```
4
Lattice="5.006 0.361 -0.338 -1.290 4.850 -0.338 0.487 0.684 3.259" Properties=species:S:1:pos:R:3 pbc="T T T"
Mn 2.747 0.522 1.460
Mo -0.402 2.767 1.460
Pb 0.000 0.000 0.000
Pb 1.858 2.606 -0.338
```

Values from the calculation:
Calculated formation energy: 0.74 eV per atom
Fermi-level density of states: 0.78 states/eV per atom
E above lowest polymorph: 0.390 eV/atom
Energy: -6.116 eV/atom

***

[4]
An optimized crystal structure of BeReBiO2. Source: Alexandria via LeMat-Bulk, functional PBE.

```
5
Lattice="3.835 0.000 0.000 0.000 5.093 0.000 0.000 0.000 3.835" Properties=species:S:1:pos:R:3 pbc="T T T"
Re 0.000 0.000 0.000
Bi 1.917 2.547 1.917
O 0.000 0.000 1.917
O 1.917 0.000 0.000
Be 0.000 2.547 0.000
```

Values from the calculation:
Formation energy without anion corrections: -0.3914 eV/atom
Fermi-level density of states: 0.68 states/eV per atom
Energy: -6.386 eV/atom

***

[5]
An optimized crystal structure of Pu2TeP. Source: Alexandria via LeMat-Bulk, functional PBE.

```
4
Lattice="3.590 0.000 0.000 0.000 3.590 0.000 0.000 0.000 7.291" Properties=species:S:1:pos:R:3 pbc="T T T"
P 1.795 1.795 0.000
Te 1.795 1.795 3.646
Pu 0.000 0.000 5.709
Pu 0.000 0.000 1.582
```

Values from the calculation:
Formation energy without anion corrections: -0.9491 eV/atom
Fermi-level density of states: 3.19 states/eV per atom
E above lowest polymorph: 0.196 eV/atom
Energy: -10.253 eV/atom

***

[6]
An optimized crystal structure of Nd4IrCl5. Source: Alexandria via LeMat-Bulk, functional PBE.

```
10
Lattice="-0.157 -3.910 1.213 8.496 -0.106 0.761 -3.307 4.679 7.738" Properties=species:S:1:pos:R:3 pbc="T T T"
Nd -0.189 -1.116 3.296
Nd -1.557 0.733 9.079
Nd 5.221 1.780 6.415
Nd 6.589 -0.069 0.633
Ir -0.079 -1.955 0.606
Cl 1.823 0.871 3.044
Cl 6.307 0.853 3.568
Cl -1.276 -0.189 6.144
Cl 4.169 -2.008 0.987
Cl 3.209 -0.207 6.667
```

Values from the calculation:
Formation energy without anion corrections: -1.7122 eV/atom
Fermi-level density of states: 0.50 states/eV per atom
Energy: -5.429 eV/atom

***

[7]
An optimized crystal structure of AlHgSb2. Source: Alexandria via LeMat-Bulk, functional PBE.

```
8
Lattice="-5.686 -3.003 -0.522 2.991 -5.285 -2.177 -0.779 -6.240 4.518" Properties=species:S:1:pos:R:3 pbc="T T T"
Sb -3.269 -4.042 0.541
Sb 0.859 -5.294 -0.306
Sb -1.540 -7.886 2.336
Sb -2.998 -11.834 1.067
Hg 0.000 0.000 0.000
Hg -3.906 -6.693 1.323
Al -1.347 -4.144 -1.350
Al 0.432 -7.834 0.496
```

Values from the calculation:
Formation energy without anion corrections: 0.0601 eV/atom
Fermi-level density of states: 0.63 states/eV per atom
E above lowest polymorph: 0.000 eV/atom
Energy: -3.012 eV/atom

***

[8]
An optimized crystal structure of CeSc2Ag3. Source: Alexandria via LeMat-Bulk, functional PBE.

```
6
Lattice="-2.398 -2.218 -1.105 2.258 -1.323 -2.245 3.264 -7.310 7.593" Properties=species:S:1:pos:R:3 pbc="T T T"
Ce 1.562 -5.426 2.122
Sc 2.686 -7.942 4.736
Sc 0.438 -2.909 -0.492
Ag 0.000 0.000 0.000
Ag 2.280 -5.108 5.305
Ag 0.983 -2.202 2.287
```

Values from the calculation:
Calculated formation energy: -0.21 eV per atom
Fermi-level density of states: 1.51 states/eV per atom
Energy: -4.731 eV/atom

***

[9]
An optimized crystal structure of Tb4GeAs3. Source: Alexandria via LeMat-Bulk, functional PBE.

```
8
Lattice="-5.343 -2.272 0.804 2.055 -3.270 4.409 -1.261 4.301 3.777" Properties=species:S:1:pos:R:3 pbc="T T T"
Ge 0.000 0.000 0.000
Tb -2.671 -1.136 0.402
Tb 1.027 -1.635 2.205
Tb -0.630 2.151 1.889
Tb -2.274 -0.621 4.495
As 0.397 0.516 4.093
As -3.302 1.014 2.291
As -1.644 -2.771 2.607
```

Values from the calculation:
Calculated formation energy: -1.31 eV per atom
Fermi-level density of states: 0.59 states/eV per atom
Energy: -5.949 eV/atom

***

[10]
An optimized crystal structure of AsIrAuClO. Source: Alexandria via LeMat-Bulk, functional PBE.

```
5
Lattice="-0.231 1.826 -3.207 -4.063 1.246 1.691 3.141 3.966 2.417" Properties=species:S:1:pos:R:3 pbc="T T T"
As -1.576 2.632 -0.623
Ir -1.014 3.009 1.722
Au -0.741 5.848 1.022
Cl 1.250 2.824 1.178
O -0.385 1.495 -1.139
```

Values from the calculation:
Formation energy without anion corrections: -0.1243 eV/atom
Fermi-level density of states: 0.14 states/eV per atom
E above lowest polymorph: 0.173 eV/atom
Energy: -4.843 eV/atom

***

[11]
An optimized crystal structure of NdAlZn2Si. Source: Alexandria via LeMat-Bulk, functional PBE.

```
5
Lattice="-2.077 1.904 -3.039 2.991 -1.036 -2.693 -3.062 -5.055 1.751" Properties=species:S:1:pos:R:3 pbc="T T T"
Nd -2.280 -4.045 -0.976
Al 0.497 -2.290 -1.774
Zn -2.038 -0.821 -1.948
Zn -0.294 -0.522 -0.126
Si -1.284 -2.656 -3.612
```

Values from the calculation:
Formation energy without anion corrections: -0.4218 eV/atom
Fermi-level density of states: 0.44 states/eV per atom
Energy: -3.718 eV/atom

***

[12]
An optimized crystal structure of Li6P2Pt. Source: Alexandria via LeMat-Bulk, functional PBE.

```
18
Lattice="8.250 0.000 0.038 0.000 6.152 0.000 5.506 6.152 6.213" Properties=species:S:1:pos:R:3 pbc="T T T"
Li 7.578 7.675 6.216
Li 2.053 4.599 0.016
Li 6.178 4.628 0.035
Li 11.703 7.704 6.235
Li 9.959 7.547 4.060
Li 7.922 4.471 2.210
Li 3.797 4.757 2.191
Li 5.834 7.833 4.041
Li 5.832 4.473 4.042
Li 3.798 7.549 2.190
Li 7.923 7.830 2.209
Li 9.957 4.754 4.061
P 3.960 6.154 4.381
P 5.671 3.078 1.851
P 9.796 6.150 1.870
P 8.085 9.226 4.400
Pt 0.000 0.000 0.000
Pt 4.125 3.076 0.019
```

Values from the calculation:
Calculated formation energy: -0.63 eV per atom
E above lowest polymorph: 0.000 eV/atom
Energy: -3.777 eV/atom

***

[13]
An optimized crystal structure of SrAc2Pt. Source: Alexandria via LeMat-Bulk, functional PBE.

```
4
Lattice="-1.204 -3.461 -1.267 2.223 0.381 -3.153 7.847 -4.553 4.982" Properties=species:S:1:pos:R:3 pbc="T T T"
Sr 4.433 -3.816 0.281
Ac 6.516 -3.781 4.137
Ac 1.331 -0.772 0.845
Pt 0.510 -1.540 -2.210
```

Values from the calculation:
Calculated formation energy: -0.48 eV per atom
Fermi-level density of states: 1.21 states/eV per atom
E above lowest polymorph: 0.118 eV/atom
Energy: -4.465 eV/atom

***

| no. | total moment (μB/atom) |
| --- | --- |
| 1 | 0.3336 |
| 2 | 0.0000 |
| 3 | 1.1251 |
| 4 | 0.0000 |
| 5 | 2.7411 |
| 6 | 0.0001 |
| 7 | 0.0000 |
| 8 | 0.2145 |
| 9 | 0.0000 |
| 10 | 0.0000 |
| 11 | 0.0000 |
| 12 | 0.0000 |
| 13 | 0.0001 |